<P>
LiLaAs | PBEsol | optimized geometry

Cell: 4.084 4.084 5.051 Å, 113.85 113.85 90.00°
Atoms (fractional coordinates):
La 0.662 0.662 0.323
Li 0.321 0.321 0.641
As 0.018 0.018 0.035

Values from the calculation:
- total moment (μB/f.u.) = 0.00

=====

<Q>
LiLaAs | PBEsol | optimized geometry

Cell: 4.153 4.253 4.253 Å, 120.00 90.00 90.00°
Each line ends with the local moment (μB).
Atoms (fractional coordinates):
As 0.500 0.000 0.000  -0.02
La 0.000 0.667 0.333  0.02
Li 0.500 0.333 0.667  0.27

Values from the calculation:
- total moment (μB/f.u.) = 0.84

=====

Quick one: least stable of them? <P>

=====

<P>
LiLaAs2 | PBEsol | optimized geometry

Cell: 3.694 3.694 6.162 Å, 90.00 90.00 97.45°
Atoms (fractional coordinates):
As 0.000 0.000 0.796
La 0.500 0.500 0.500
Li 0.500 0.500 0.000
As 0.000 0.000 0.204

Values from the calculation:
- total moment (μB/f.u.) = 0.00

=====

<Q>
LiLaAs2 | PBEsol | optimized geometry

Cell: 4.066 4.591 4.591 Å, 90.00 90.00 90.00°
Atoms (fractional coordinates):
Li 0.500 0.000 0.000
As 0.000 0.500 0.000
As 0.000 0.000 0.500
La 0.500 0.500 0.500

Values from the calculation:
- total moment (μB/f.u.) = 0.00

=====

Quick one: least stable of them? <P>

=====

<P>
LaMgAs | PBEsol | optimized geometry

Cell: 3.254 3.845 6.302 Å, 107.76 104.96 90.00°
Atoms (fractional coordinates):
Mg 0.636 0.636 0.271
As 0.016 0.016 0.032
La 0.348 0.348 0.696

Values from the calculation:
- total moment (μB/f.u.) = 0.00

=====

<Q>
LaMgAs | PBEsol | optimized geometry

Cell: 3.623 3.623 6.365 Å, 103.35 103.35 100.88°
Atoms (fractional coordinates):
La 0.356 0.356 0.711
As 0.009 0.009 0.019
Mg 0.635 0.635 0.270

Values from the calculation:
- total moment (μB/f.u.) = 0.00

=====

Quick one: least stable of them? <P>

=====

<P>
La2AsPb | PBEsol | optimized geometry

Cell: 4.242 4.242 8.393 Å, 75.36 75.36 60.00°
Atoms (fractional coordinates):
Pb 0.500 0.500 0.500
La 0.261 0.261 0.218
La 0.739 0.739 0.782
As 0.000 0.000 0.000

Values from the calculation:
- total moment (μB/f.u.) = 0.00

=====

<Q>
La2AsPb | PBEsol | optimized geometry

Cell: 5.415 5.415 5.415 Å, 60.00 60.00 60.00°
Atoms (fractional coordinates):
La 0.250 0.250 0.250
Pb 0.500 0.500 0.500
As 0.000 0.000 0.000
La 0.750 0.750 0.750

Values from the calculation:
- total moment (μB/f.u.) = 0.00

=====

Quick one: least stable of them? <Q>